Record 1
DFT (PBE) results for an optimized crystal structure of CdPb3Cl.

The structure belongs to space group Pm-3m (No. 221); the cell edges are 5.7270, 5.7270 and 5.7270 Å and the angles 90.00°, 90.00° and 90.00°. The inequivalent atoms are Cd at (0.0000, 0.0000, 0.0000), Pb at (0.0000, 0.0000, 0.5000) and Cl at (0.5000, 0.5000, 0.5000).

The mass density is 6.80 g cm⁻³. The value obtained for the total magnetization is 0.0 μB per cell. The value obtained for the relative energy among the computed polymorphs is 21 meV/atom. The uncorrected formation energy is 0.29 eV per atom. The calculation puts the density of states at the Fermi level at 1.083 states/eV per atom.

***

Record 2
DFT (PBE) results for an optimized crystal structure of CrInRh2.

The structure belongs to space group P4/mmm (No. 123); the cell edges are 4.2342, 4.2342 and 3.4700 Å and the angles 90.00°, 90.00° and 90.00°. The inequivalent atoms are Cr at (0.0000, 0.0000, 0.0000), In at (0.5000, 0.5000, 0.0000) and Rh at (0.0000, 0.5000, 0.5000).

The mass density is 9.95 g cm⁻³. The value obtained for the total magnetization is 3.1 μB per cell. The calculation puts the density of states at the Fermi level at 0.806 states/eV per atom. The uncorrected energy is -6.939 eV/atom.

***

Record 3
DFT (PBE) results for an optimized crystal structure of GaCBr3.

The structure belongs to space group Pm-3m (No. 221); the cell edges are 5.1822, 5.1822 and 5.1822 Å and the angles 90.00°, 90.00° and 90.00°. The inequivalent atoms are Ga at (0.0000, 0.0000, 0.0000), C at (0.5000, 0.5000, 0.5000) and Br at (0.0000, 0.0000, 0.5000).

The mass density is 3.84 g cm⁻³. The value obtained for the total magnetization is 1.7 μB per cell. The value obtained for the relative energy among the computed polymorphs is 403 meV/atom. The uncorrected formation energy is 1.14 eV per atom. The calculation puts the density of states at the Fermi level at 1.283 states/eV per atom.

***

Record 4
DFT (PBE) results for an optimized crystal structure of Sm3CdHg4.

The structure belongs to space group R-3m (No. 166, hexagonal axes); the cell edges are 5.2091, 5.2091 and 26.6980 Å and the angles 90.00°, 90.00° and 120.00°. The inequivalent atoms are Sm at (0.0000, 0.0000, 0.0000), Sm at (0.0000, 0.0000, 0.2409), Cd at (0.0000, 0.0000, 0.5000), Hg at (0.0000, 0.0000, 0.1225) and Hg at (0.0000, 0.0000, 0.3699).

The mass density is 10.85 g cm⁻³. The value obtained for the total magnetization is 0.0 μB per cell. The value obtained for the relative energy among the computed polymorphs is 0 meV/atom. The calculation puts the density of states at the Fermi level at 0.727 states/eV per atom.